Entry 1:
# Rh2PbC

An optimized crystal structure of Rh2PbC (PBE, the Alexandria database). Values from VASP.

```
&SYSTEM
  ibrav = 0, nat = 4, ntyp = 3
/
ATOMIC_SPECIES
Rh 102.91 Rh.upf
C 12.01 C.upf
Pb 207.20 Pb.upf
ATOMIC_POSITIONS crystal
Rh 0.250 0.250 0.250
C 0.000 0.000 0.000
Rh 0.750 0.750 0.750
Pb 0.500 0.500 0.500
CELL_PARAMETERS angstrom
0.000 3.129 3.129
3.129 0.000 3.129
3.129 3.129 0.000
```

Output
As for the crystal system: cubic. For the total DFT energy (no corrections), the calculation gives -22.4 eV per formula unit. The calculation puts the energy above the lowest structure with this stoichiometry at 986.5 meV per atom. As for the energy of formation from the pure elements: 5.213 eV/f.u. The total magnetization is 0.58 μB per cell.

=====

Entry 2:
# RePtIN2

An optimized crystal structure of RePtIN2 (PBE, the Alexandria database). Values from VASP.

```
&SYSTEM
  ibrav = 0, nat = 5, ntyp = 4
/
ATOMIC_SPECIES
Re 186.21 Re.upf
I 126.90 I.upf
N 14.01 N.upf
Pt 195.08 Pt.upf
ATOMIC_POSITIONS crystal
Re 0.000 0.000 0.000
I 0.000 0.000 0.500
N 0.500 0.000 0.000
Pt 0.500 0.500 0.500
N 0.000 0.500 0.000
CELL_PARAMETERS angstrom
-1.509 -0.306 3.512
-3.501 -0.313 -1.532
0.645 -6.013 -0.246
```

Output
As for the crystal system: tetragonal. For the total DFT energy (no corrections), the calculation gives -32.8 eV per formula unit. The calculation puts the energy above the lowest structure with this stoichiometry at 0.0 meV per atom. The value obtained for the energy relative to the elements, uncorrected is 18.0 kcal/mol of atoms. The total magnetization is 0.00 μB per cell.